{"formula": "As3Ru", "functional": "GGA-PBE", "state": "optimized geometry", "e_form_ev_per_fu": 0.7, "spacegroup": "Immm, No. 71", "total_energy_ev_per_atom": -5.637, "polymorph_energy_mev_per_atom": 193, "lattice_angstrom": [[-1.4934, 2.1772, 5.6112], [1.4934, -2.1772, 5.6112], [1.4934, 2.1772, -5.6112]], "species": ["As", "As", "As", "Ru"], "fractional_positions": [[0.0000, 0.0000, 0.0000], [0.3118, 0.8118, 0.5000], [0.6882, 0.1882, 0.5000], [0.5000, 0.5000, 0.0000]]}